1.
The following is a PBEsol calculation of a relaxed structure of BeCrTe2, from Alexandria via LeMat-Bulk.

Cell and atoms, written as extended XYZ:
```
8
Lattice="6.035 0.000 0.000 0.000 6.035 0.000 -3.018 -3.018 5.510" Properties=species:S:1:pos:R:3 pbc="T T T"
Te 4.325 1.509 1.377
Be 3.018 3.018 0.000
Cr 0.000 3.018 2.755
Be 3.018 0.000 2.755
Cr 0.000 0.000 0.000
Te 1.509 1.307 4.132
Te 1.711 4.527 1.377
Te -1.509 -1.307 4.132
```

- N(E_F) (states/eV/f.u.) = 1.16
- VASP energy (eV for the cell shown) = -42.326
- raw formation energy (eV per atom) = 0.033
- symmetry = I-42d, No. 122

=====

2.
The following is a PBEsol calculation of a relaxed structure of Mo2Se, from Alexandria via LeMat-Bulk.

Cell and atoms, written as extended XYZ:
```
3
Lattice="3.601 0.000 0.000 0.000 3.601 0.000 0.000 0.000 4.132" Properties=species:S:1:pos:R:3 pbc="T T T"
Se 0.000 0.000 0.000
Mo 0.000 1.800 2.066
Mo 1.800 0.000 2.066
```

- E above lowest polymorph (eV per formula unit) = 2.18
- N(E_F) (states/eV/f.u.) = 3.12
- VASP energy (eV for the cell shown) = -25.375
- raw formation energy (eV per atom) = 0.670
- symmetry = P4/mmm, No. 123

=====

3.
The following is a PBEsol calculation of a relaxed structure of Mn2ZnSb, from Alexandria via LeMat-Bulk.

Cell and atoms, written as extended XYZ:
```
4
Lattice="-0.065 3.821 1.996 -1.226 0.256 4.125 2.905 0.883 3.061" Properties=species:S:1:pos:R:3 pbc="T T T"
Mn 0.000 0.000 0.000
Sb 0.807 2.480 4.591
Zn 0.403 1.240 2.296
Mn 1.210 3.720 6.887
```

- E above lowest polymorph (eV per formula unit) = 0.81
- N(E_F) (states/eV/f.u.) = 1.62
- VASP energy (eV for the cell shown) = -24.091
- raw formation energy (eV per atom) = 0.393
- symmetry = F-43m, No. 216

=====

4.
The following is a PBEsol calculation of a relaxed structure of MnOsW2, from Alexandria via LeMat-Bulk.

Cell and atoms, written as extended XYZ:
```
4
Lattice="-2.478 -2.393 -1.761 -1.495 -0.977 3.432 -0.542 4.519 -1.130" Properties=species:S:1:pos:R:3 pbc="T T T"
W -2.011 0.928 1.569
Mn -1.986 -1.685 0.835
Os 0.000 0.000 0.000
W -2.503 0.221 -1.027
```

- E above lowest polymorph (eV per formula unit) = 0.04
- N(E_F) (states/eV/f.u.) = 3.94
- VASP energy (eV for the cell shown) = -48.889
- symmetry = I4/mmm, No. 139

=====

5.
The following is a PBEsol calculation of a relaxed structure of AlZnCd4, from Alexandria via LeMat-Bulk.

Cell and atoms, written as extended XYZ:
```
6
Lattice="5.633 0.000 0.000 2.816 4.878 0.000 2.816 1.626 4.599" Properties=species:S:1:pos:R:3 pbc="T T T"
Cd 4.226 2.440 1.725
Al 0.000 0.000 0.000
Zn 8.449 4.878 3.449
Cd 5.633 4.877 1.725
Cd 7.040 2.440 1.725
Cd 5.633 3.252 4.023
```

- N(E_F) (states/eV/f.u.) = 2.71
- VASP energy (eV for the cell shown) = -8.765
- symmetry = F-43m, No. 216

=====

6.
The following is a PBEsol calculation of a relaxed structure of Zr3PW, from Alexandria via LeMat-Bulk.

Cell and atoms, written as extended XYZ:
```
5
Lattice="-1.588 -4.233 2.044 1.256 -2.461 -4.121 4.529 -0.802 1.859" Properties=species:S:1:pos:R:3 pbc="T T T"
Zr 0.628 -1.231 -2.060
Zr -0.794 -2.116 1.022
Zr 2.265 -0.401 0.930
W 0.000 0.000 0.000
P 2.098 -3.748 -0.109
```

- N(E_F) (states/eV/f.u.) = 8.71
- VASP energy (eV for the cell shown) = -42.008
- symmetry = Pm-3m, No. 221

=====

7.
The following is a PBEsol calculation of a relaxed structure of KY2Cd, from Alexandria via LeMat-Bulk.

Cell and atoms, written as extended XYZ:
```
4
Lattice="-1.300 3.236 -1.164 0.948 -1.551 -5.371 -5.330 -3.163 2.966" Properties=species:S:1:pos:R:3 pbc="T T T"
Y -0.105 -0.044 -0.006
K -1.935 -1.791 -2.818
Cd -5.367 -2.262 -0.294
Y -3.781 0.299 -0.754
```

- N(E_F) (states/eV/f.u.) = 5.34
- VASP energy (eV for the cell shown) = -14.849
- symmetry = Imm2, No. 44

=====

8.
The following is a PBEsol calculation of a relaxed structure of LaCrRh2, from Alexandria via LeMat-Bulk.

Cell and atoms, written as extended XYZ:
```
4
Lattice="4.575 0.000 0.000 2.287 3.962 0.000 2.287 1.321 3.735" Properties=species:S:1:pos:R:3 pbc="T T T"
La 2.287 1.321 0.934
Rh 0.000 0.000 0.000
Rh 6.862 3.962 2.801
Cr 4.575 2.641 1.868
```

- E above lowest polymorph (eV per formula unit) = 0.50
- N(E_F) (states/eV/f.u.) = 7.42
- VASP energy (eV for the cell shown) = -31.081
- symmetry = F-43m, No. 216

=====

The lowest VASP energy belongs to which entry?
MnOsW2

=====

Which of these has the highest VASP energy?
AlZnCd4

=====

Which value of VASP energy does entry 1 give?
-42.326 eV for the cell shown